# 1
# Li2Zr2Al2PdPt (PBE, relaxed)
data_Li2Zr2Al2PdPt
_chemical_formula_sum 'Li2 Zr2 Al2 Pd1 Pt1'
_cell_length_a 4.496
_cell_length_b 4.496
_cell_length_c 6.359
_cell_angle_alpha 90.00
_cell_angle_beta 90.00
_cell_angle_gamma 90.00
_space_group_name_H-M_alt 'P -4 m 2'
_space_group_IT_number 115
loop_
_space_group_symop_operation_xyz
'x,y,z'
'y,-x,-z'
'-x,-y,z'
'-y,x,-z'
'-x,y,z'
'-y,-x,-z'
'x,-y,z'
'y,x,-z'
loop_
_atom_site_label
_atom_site_fract_x
_atom_site_fract_y
_atom_site_fract_z
Li1 0.000 0.000 0.000
Li2 0.500 0.500 0.500
Zr1 0.000 0.500 0.750
Al1 0.000 0.500 0.250
Pd1 0.000 0.000 0.500
Pt1 0.500 0.500 0.000
# Spin magnetization = 0.001 μB per atom
# Electronic total energy = -45.69 eV per cell

---

# 2
# Li2Sc2AlSiPd2 (PBE, relaxed)
data_Li2Sc2AlSiPd2
_chemical_formula_sum 'Li2 Sc2 Al1 Si1 Pd2'
_cell_length_a 4.419
_cell_length_b 4.419
_cell_length_c 6.347
_cell_angle_alpha 90.00
_cell_angle_beta 90.00
_cell_angle_gamma 90.00
_space_group_name_H-M_alt 'P -4 m 2'
_space_group_IT_number 115
loop_
_space_group_symop_operation_xyz
'x,y,z'
'y,-x,-z'
'-x,-y,z'
'-y,x,-z'
'-x,y,z'
'-y,-x,-z'
'x,-y,z'
'y,x,-z'
loop_
_atom_site_label
_atom_site_fract_x
_atom_site_fract_y
_atom_site_fract_z
Li1 0.000 0.500 0.242
Sc1 0.000 0.000 0.000
Sc2 0.500 0.500 0.500
Al1 0.000 0.000 0.500
Si1 0.500 0.500 0.000
Pd1 0.000 0.500 0.754
# Spin magnetization = 0.000 μB per atom
# Electronic total energy = -41.61 eV per cell

---

# 3
# Li2Sc2AlSnPd2 (PBE, relaxed)
data_Li2Sc2AlSnPd2
_chemical_formula_sum 'Li2 Sc2 Al1 Sn1 Pd2'
_cell_length_a 4.530
_cell_length_b 4.530
_cell_length_c 6.526
_cell_angle_alpha 90.00
_cell_angle_beta 90.00
_cell_angle_gamma 90.00
_space_group_name_H-M_alt 'P -4 m 2'
_space_group_IT_number 115
loop_
_space_group_symop_operation_xyz
'x,y,z'
'y,-x,-z'
'-x,-y,z'
'-y,x,-z'
'-x,y,z'
'-y,-x,-z'
'x,-y,z'
'y,x,-z'
loop_
_atom_site_label
_atom_site_fract_x
_atom_site_fract_y
_atom_site_fract_z
Li1 0.000 0.500 0.241
Sc1 0.000 0.000 0.000
Sc2 0.500 0.500 0.500
Al1 0.500 0.500 0.000
Sn1 0.000 0.000 0.500
Pd1 0.000 0.500 0.765
# Spin magnetization = 0.000 μB per atom
# Electronic total energy = -40.44 eV per cell

---

# 4
# Li4AlSiPd2 (PBE, relaxed)
data_Li4AlSiPd2
_chemical_formula_sum 'Li4 Al1 Si1 Pd2'
_cell_length_a 4.247
_cell_length_b 4.247
_cell_length_c 5.975
_cell_angle_alpha 90.00
_cell_angle_beta 90.00
_cell_angle_gamma 90.00
_space_group_name_H-M_alt 'P -4 m 2'
_space_group_IT_number 115
loop_
_space_group_symop_operation_xyz
'x,y,z'
'y,-x,-z'
'-x,-y,z'
'-y,x,-z'
'-x,y,z'
'-y,-x,-z'
'x,-y,z'
'y,x,-z'
loop_
_atom_site_label
_atom_site_fract_x
_atom_site_fract_y
_atom_site_fract_z
Li1 0.000 0.000 0.000
Li2 0.000 0.500 0.243
Li3 0.500 0.500 0.500
Al1 0.000 0.000 0.500
Si1 0.500 0.500 0.000
Pd1 0.000 0.500 0.761
# Electronic total energy = -31.46 eV per cell

---

# 5
# Li4AlSnPd2 (PBE, relaxed)
data_Li4AlSnPd2
_chemical_formula_sum 'Li4 Al1 Sn1 Pd2'
_cell_length_a 4.384
_cell_length_b 4.384
_cell_length_c 6.208
_cell_angle_alpha 90.00
_cell_angle_beta 90.00
_cell_angle_gamma 90.00
_space_group_name_H-M_alt 'P -4 m 2'
_space_group_IT_number 115
loop_
_space_group_symop_operation_xyz
'x,y,z'
'y,-x,-z'
'-x,-y,z'
'-y,x,-z'
'-x,y,z'
'-y,-x,-z'
'x,-y,z'
'y,x,-z'
loop_
_atom_site_label
_atom_site_fract_x
_atom_site_fract_y
_atom_site_fract_z
Li1 0.000 0.000 0.000
Li2 0.000 0.500 0.238
Li3 0.500 0.500 0.500
Al1 0.500 0.500 0.000
Sn1 0.000 0.000 0.500
Pd1 0.000 0.500 0.769
# Electronic total energy = -30.19 eV per cell

---

# 6
# Li4AlZnPd2 (PBE, relaxed)
data_Li4AlZnPd2
_chemical_formula_sum 'Li4 Al1 Zn1 Pd2'
_cell_length_a 4.289
_cell_length_b 4.289
_cell_length_c 6.068
_cell_angle_alpha 90.00
_cell_angle_beta 90.00
_cell_angle_gamma 90.00
_space_group_name_H-M_alt 'P -4 m 2'
_space_group_IT_number 115
loop_
_space_group_symop_operation_xyz
'x,y,z'
'y,-x,-z'
'-x,-y,z'
'-y,x,-z'
'-x,y,z'
'-y,-x,-z'
'x,-y,z'
'y,x,-z'
loop_
_atom_site_label
_atom_site_fract_x
_atom_site_fract_y
_atom_site_fract_z
Li1 0.000 0.000 0.000
Li2 0.000 0.500 0.240
Li3 0.500 0.500 0.500
Al1 0.000 0.000 0.500
Zn1 0.500 0.500 0.000
Pd1 0.000 0.500 0.739
# Electronic total energy = -26.90 eV per cell

---

# 7
# Li4Al2ZnPd (PBE, relaxed)
data_Li4Al2ZnPd
_chemical_formula_sum 'Li4 Al2 Zn1 Pd1'
_cell_length_a 4.320
_cell_length_b 4.320
_cell_length_c 6.152
_cell_angle_alpha 90.00
_cell_angle_beta 90.00
_cell_angle_gamma 90.00
_space_group_name_H-M_alt 'P -4 m 2'
_space_group_IT_number 115
loop_
_space_group_symop_operation_xyz
'x,y,z'
'y,-x,-z'
'-x,-y,z'
'-y,x,-z'
'-x,y,z'
'-y,-x,-z'
'x,-y,z'
'y,x,-z'
loop_
_atom_site_label
_atom_site_fract_x
_atom_site_fract_y
_atom_site_fract_z
Li1 0.000 0.000 0.000
Li2 0.000 0.500 0.750
Li3 0.500 0.500 0.500
Al1 0.000 0.500 0.236
Zn1 0.000 0.000 0.500
Pd1 0.500 0.500 0.000
# Electronic total energy = -24.60 eV per cell

---

# 8
# LiPmAl (PBE, relaxed)
data_LiPmAl
_chemical_formula_sum 'Li4 Pm4 Al4'
_cell_length_a 6.949
_cell_length_b 6.949
_cell_length_c 6.949
_cell_angle_alpha 90.00
_cell_angle_beta 90.00
_cell_angle_gamma 90.00
_space_group_name_H-M_alt 'F -4 3 m'
_space_group_IT_number 216
_space_group_name_Hall 'F -4 2 3'
loop_
_atom_site_label
_atom_site_fract_x
_atom_site_fract_y
_atom_site_fract_z
Li1 0.000 0.000 0.000
Pm1 0.250 0.250 0.750
Al1 0.000 0.000 0.500
# Spin magnetization = 0.001 μB per atom
# Electronic total energy = -36.48 eV per cell

---

The highest electronic total energy belongs to which entry?
Li4Al2ZnPd